BaNaZn3 | PBE-GGA | relaxed

```
5
Lattice="-3.945 3.155 1.728 -3.052 -1.577 -4.088 -1.905 -4.008 2.969" Properties=species:S:1:pos:R:3 pbc="T T T"
Zn -1.973 1.578 0.864
Na 0.000 0.000 0.000
Zn -1.526 -0.789 -2.044
Ba -4.451 -1.215 0.305
Zn -0.952 -2.004 1.484
```

Values from the calculation:
Its calculated volume is 30.44 A^3/atom. The calculated formation energy comes out at 0.24 eV/atom. As for the crystal system: cubic. For the total energy, the calculation gives -1.17 eV/atom. The space group is Pm-3m, No. 221.

=====

Ba2NaZn2 | PBE-GGA | relaxed

```
5
Lattice="-2.618 2.437 -2.664 -3.610 -2.565 1.201 0.046 7.026 6.381" Properties=species:S:1:pos:R:3 pbc="T T T"
Zn -0.759 2.478 3.012
Ba -3.592 1.496 1.165
Ba -2.590 5.401 3.753
Na 0.000 0.000 0.000
Zn -2.805 1.983 4.570
```

Values from the calculation:
Its calculated volume is 37.69 A^3/atom. The calculated formation energy comes out at -0.14 eV/atom. As for the crystal system: orthorhombic. For the total energy, the calculation gives -1.68 eV/atom. The space group is Cmmm, No. 65.

=====

Ba2NaZn2 | PBE-GGA | relaxed

```
5
Lattice="-2.588 3.328 0.042 -3.323 -2.580 -0.275 -3.456 -0.154 10.874" Properties=species:S:1:pos:R:3 pbc="T T T"
Zn -4.499 1.774 5.399
Ba -6.281 0.356 7.911
Ba -3.085 0.237 2.730
Na 0.000 0.000 0.000
Zn -4.867 -1.180 5.241
```

Values from the calculation:
Its calculated volume is 39.15 A^3/atom. The calculated formation energy comes out at 0.03 eV/atom. As for the crystal system: tetragonal. For the total energy, the calculation gives -1.51 eV/atom. The space group is I4/mmm, No. 139.

=====

BaNaZn2 | PBE-GGA | relaxed

```
8
Lattice="5.025 0.000 0.000 0.000 5.025 0.000 2.513 2.513 10.375" Properties=species:S:1:pos:R:3 pbc="T T T"
Ba 0.000 0.000 0.000
Ba 5.025 2.513 5.187
Zn 2.514 1.256 2.594
Zn 2.511 3.769 2.594
Zn 3.769 5.024 7.781
Na 2.513 2.513 0.000
Zn 6.282 5.027 7.781
Na 2.513 5.025 5.187
```

Values from the calculation:
Its calculated volume is 32.75 A^3/atom. The calculated formation energy comes out at 0.09 eV/atom. As for the crystal system: tetragonal. For the total energy, the calculation gives -1.36 eV/atom. The space group is I4_1/amd, No. 141.

=====

calculated formation energy of number 2 (Ba2NaZn2)?
-0.14 eV/atom

=====

calculated volume of number 1 (BaNaZn3)?
30.44 A^3/atom